Below is a relaxed Al2TlMo crystal, with properties calculated at the PBE level. Values from VASP.

```
&SYSTEM
  ibrav = 0, nat = 4, ntyp = 3
/
ATOMIC_SPECIES
Al 26.98 Al.upf
Tl 204.38 Tl.upf
Mo 95.94 Mo.upf
ATOMIC_POSITIONS angstrom
Al -9.845 9.796 -2.590
Tl -14.462 14.390 -3.804
Al -19.079 18.984 -5.018
Mo -4.821 4.797 -1.268
CELL_PARAMETERS angstrom
-5.987 6.383 -3.415
-7.685 5.292 -1.085
-5.610 7.512 -0.572
```

Polymorph energy (0 for the lowest one) ... 9.43 kJ/mol of atoms
Formation energy ... 0.215 eV per atom
Space-group type ... R-3m (166)
Electronic total energy ... -4.96 eV per atom